Computed, not measured: crystalline Mg2H3Ir at its relaxed geometry at the PBE level of DFT.

Structure (extended XYZ):
```
6
Lattice="3.039 0.000 0.000 0.000 3.192 3.432 0.000 -3.192 3.432" Properties=species:S:1:pos:R:3 pbc="T T T"
Mg 0.000 -1.684 3.432
Mg 0.000 1.684 3.432
H 1.519 0.000 3.491
H 1.519 -1.506 5.145
H 1.519 1.506 5.145
Ir 1.519 0.000 1.777
```

Summary:
**E above lowest polymorph**: 0.000 eV per atom
**Total DFT energy (no corrections)**: -0.2961 Ry/atom
**Space group**: No. 38



Computed, not measured: crystalline NiBiMo2Pt at its relaxed geometry at the PBE level of DFT.

Structure (extended XYZ):
```
5
Lattice="4.478 0.000 0.000 0.000 4.478 0.000 0.000 0.000 4.927" Properties=species:S:1:pos:R:3 pbc="T T T"
Ni 0.000 0.000 0.000
Bi 0.000 0.000 2.464
Mo 0.000 2.239 0.000
Mo 2.239 0.000 0.000
Pt 2.239 2.239 2.464
```

Summary:
**Formation energy**: 1245 meV per atom
**Total DFT energy (no corrections)**: -0.4578 Ry/atom
**Space group**: No. 123



Computed, not measured: crystalline TbY2Zn at its relaxed geometry at the PBE level of DFT.

Structure (extended XYZ):
```
4
Lattice="1.815 1.048 10.195 -1.815 1.048 10.195 0.000 -2.095 10.195" Properties=species:S:1:pos:R:3 pbc="T T T"
Tb 0.000 0.000 0.000
Y 0.000 0.000 7.300
Y 0.000 0.000 13.113
Zn 0.000 0.000 25.513
```

Summary:
**E above lowest polymorph**: 0.098 eV per atom
**Formation energy**: -67 meV per atom
**Total DFT energy (no corrections)**: -0.3510 Ry/atom
**Space group**: No. 160



Computed, not measured: crystalline Re2TcAg at its relaxed geometry at the PBE level of DFT.

Structure (extended XYZ):
```
8
Lattice="-3.627 3.627 2.660 3.627 -3.627 2.660 3.627 3.627 -2.660" Properties=species:S:1:pos:R:3 pbc="T T T"
Re 1.813 1.479 -0.665
Re 2.148 -1.813 3.325
Re 1.813 2.148 1.995
Re 1.479 5.440 0.665
Tc 0.000 0.000 0.000
Tc 0.000 3.627 1.330
Ag 3.627 0.000 1.330
Ag 0.000 0.000 2.660
```

Summary:
**E above lowest polymorph**: 0.810 eV per atom
**Formation energy**: 1062 meV per atom
**Total DFT energy (no corrections)**: -0.6223 Ry/atom
**Space group**: No. 122



Computed, not measured: crystalline Mo2AsPC at its relaxed geometry at the PBE level of DFT.

Structure (extended XYZ):
```
5
Lattice="4.385 0.000 0.000 0.000 4.385 0.000 0.000 0.000 3.515" Properties=species:S:1:pos:R:3 pbc="T T T"
Mo 0.000 2.193 0.000
Mo 2.193 0.000 0.000
As 0.000 0.000 1.757
P 2.193 2.193 1.757
C 2.193 2.193 0.000
```

Summary:
**Formation energy**: 530 meV per atom
**Total DFT energy (no corrections)**: -0.5629 Ry/atom
**Space group**: No. 123



Computed, not measured: crystalline Sc2AlSnH at its relaxed geometry at the PBE level of DFT.

Structure (extended XYZ):
```
5
Lattice="4.397 0.000 0.000 0.000 4.397 0.000 0.000 0.000 4.350" Properties=species:S:1:pos:R:3 pbc="T T T"
Sc 0.000 2.199 0.000
Sc 2.199 0.000 0.000
Al 0.000 0.000 2.175
Sn 2.199 2.199 2.175
H 0.000 0.000 0.000
```

Summary:
**Total DFT energy (no corrections)**: -0.3778 Ry/atom
**Space group**: No. 123



Computed, not measured: crystalline MnZn2Ir at its relaxed geometry at the PBE level of DFT.

Structure (extended XYZ):
```
4
Lattice="1.429 -2.322 0.000 1.429 2.322 0.000 0.000 0.000 8.736" Properties=species:S:1:pos:R:3 pbc="T T T"
Mn 0.000 0.000 0.000
Zn 0.000 0.000 4.419
Zn 1.429 0.000 2.158
Ir 1.429 0.000 6.634
```

Summary:
**Formation energy**: 49 meV per atom
**Total DFT energy (no corrections)**: -0.3745 Ry/atom
**Space group**: No. 35



Computed, not measured: crystalline ZrTaMnCu at its relaxed geometry at the PBE level of DFT.

Structure (extended XYZ):
```
4
Lattice="0.000 3.161 3.161 3.161 0.000 3.161 3.161 3.161 0.000" Properties=species:S:1:pos:R:3 pbc="T T T"
Zr 0.000 0.000 0.000
Ta 3.161 3.161 3.161
Mn 4.741 4.741 4.741
Cu 1.580 1.580 1.580
```

Summary:
**Formation energy**: 4 meV per atom
**Total DFT energy (no corrections)**: -0.6183 Ry/atom
**Space group**: No. 216